# CuNi2Bi, relaxed, DFT PBE
data_CuNi2Bi
_chemical_formula_sum 'Cu2 Ni4 Bi2'
_space_group_name_H-M_alt 'P 1'
_space_group_IT_number 1
_space_group_name_Hall 'P 1'
_cell_length_a 8.535
_cell_length_b 8.535
_cell_length_c 3.885
_cell_angle_alpha 90.00
_cell_angle_beta 90.00
_cell_angle_gamma 154.69
loop_
_atom_site_label
_atom_site_type_symbol
_atom_site_fract_x
_atom_site_fract_y
_atom_site_fract_z
_atom_site_occupancy
Cu1 Cu 0.047 0.953 0.750 1
Cu2 Cu 0.953 0.047 0.250 1
Ni1 Ni 0.354 0.646 0.250 1
Ni2 Ni 0.451 0.549 0.750 1
Ni3 Ni 0.549 0.451 0.250 1
Ni4 Ni 0.646 0.354 0.750 1
Bi1 Bi 0.180 0.820 0.250 1
Bi2 Bi 0.820 0.180 0.750 1
# E = -4.820 eV per atom
# ΔE_f = 65 meV per atom
# D(E_F) = 6.1 states/eV per cell